No. 1
The following is a GGA-PBE calculation of a geometry-optimized Ac6SbPb2Se3 structure, from the Alexandria database.

a b c (Å): 4.725 9.274 10.406
angles (deg): 101.41 103.12 90.00
Positions (direct):
Ac 0.001 0.746 0.002
Ac 0.335 0.414 0.670
Ac 0.665 0.586 0.330
Ac 0.332 0.920 0.664
Ac 0.668 0.080 0.336
Ac 0.999 0.254 0.998
Se 0.835 0.167 0.669
Se 0.165 0.833 0.331
Se 0.500 0.500 0.000
Sb 0.500 0.000 0.000
Pb 0.834 0.669 0.668
Pb 0.166 0.331 0.332

Summary:
Space group: C2/m, No. 12
Formation energy from raw total energies: -15.80 eV per formula unit
Uncorrected energy: -62.44 eV/cell
Mass density: 8.15 g/cm3
M_tot: 0.00 μB per formula unit

=====

No. 2
The following is a GGA-PBE calculation of a geometry-optimized Tl4N2Cl3 structure, from the Alexandria database.

a b c (Å): 8.042 8.448 8.050
angles (deg): 72.52 50.88 61.58
Positions (direct):
N 0.067 0.000 0.504
N 0.933 0.000 0.496
Tl 0.982 0.671 0.298
Tl 0.018 0.329 0.702
Tl 0.653 0.329 0.298
Tl 0.347 0.671 0.702
Cl 0.000 0.500 0.000
Cl 0.000 0.000 0.000
Cl 0.500 0.500 0.000

Summary:
Space group: C2/m, No. 12
Formation energy from raw total energies: -4.37 eV per formula unit
Uncorrected energy: -36.02 eV/cell
Mass density: 4.24 g/cm3
M_tot: 0.00 μB per formula unit